! Li2MgGeO4, single point on PBEsol structure, DFT SCAN; values from VASP
&SYSTEM
  ibrav = 0, nat = 32, ntyp = 4
/
ATOMIC_SPECIES
Li 6.94 Li.upf
Mg 24.30 Mg.upf
Ge 72.64 Ge.upf
O 16.00 O.upf
ATOMIC_POSITIONS angstrom
Li 0.842 1.017 0.000
Li 1.781 4.138 1.599
Li 3.688 1.594 4.800
Li 4.626 3.561 3.202
Li 6.311 1.527 0.000
Li 7.250 3.494 1.599
Li 9.156 0.950 4.800
Li 10.095 4.071 3.202
Mg 1.838 4.138 4.766
Mg 3.631 1.594 1.565
Mg 7.307 3.493 4.766
Mg 9.100 0.950 1.565
Ge 0.926 1.607 3.184
Ge 4.543 4.150 6.385
Ge 6.395 0.937 3.184
Ge 10.012 3.481 6.385
O 0.736 4.044 6.377
O 0.964 3.377 3.197
O 1.772 1.040 1.740
O 1.784 1.039 4.626
O 3.684 3.583 1.424
O 3.697 3.583 4.941
O 4.504 0.833 6.399
O 4.733 1.500 3.175
O 6.205 3.587 6.377
O 6.433 4.255 3.197
O 7.241 1.504 1.740
O 7.253 1.504 4.626
O 9.153 4.048 1.424
O 9.165 4.048 4.941
O 9.973 1.711 6.399
O 10.201 1.044 3.175
CELL_PARAMETERS angstrom
10.938 0.000 0.000
0.000 5.088 0.000
0.000 0.000 6.403
! Total DFT energy (no corrections) in eV per atom: -9.09
! Formation energy from raw total energies in eV/atom: -2.3689